[1]
Entry from Alexandria via LeMat-Bulk: a geometry-optimized Ac4TlAsI2 structure (PBE).

symmetry	P2/m
energy relative to the elements, uncorrected	-955	meV per atom

Lattice parameters (Å, degrees): 4.7650 8.1662 8.3797 109.52 90.00 90.00
Closest atoms and distances in Å follow each position.
Element x y z (fractional)
Ac (0.5000, 0.2489, 0.2160)  1 As 3.16, 2 Tl 3.26, 2 I 3.50
Ac (0.5000, 0.7511, 0.7840)  1 As 3.16, 2 Tl 3.26, 2 I 3.50
Ac (0.0000, 0.2726, 0.7911)  2 As 3.17, 1 Tl 3.26, 1 I 3.52
Ac (0.0000, 0.7274, 0.2089)  2 As 3.17, 1 Tl 3.26, 1 I 3.52
Tl (0.0000, 0.0000, 0.0000)  6 Ac 3.26
As (0.5000, 0.5000, 0.0000)  6 Ac 3.16-3.17
I (0.5000, 0.0000, 0.5000)  6 Ac 3.60-3.61
I (0.0000, 0.5000, 0.5000)  6 Ac 3.50-3.52

=====

[2]
Entry from Alexandria via LeMat-Bulk: a geometry-optimized Pm15SmHo4 structure (PBE).

symmetry	P4/mmm
formation energy from the elements	0.01	eV/atom

Lattice parameters (Å, degrees): 5.1295 5.1295 25.5639 90.00 90.00 90.00
Closest atoms and distances in Å follow each position.
Element x y z (fractional)
Pm (0.5000, 0.5000, 0.0000)  4 Sm 3.63, 8 Pm 3.64
Pm (0.5000, 0.5000, 0.2011)  8 Pm 3.61-3.62, 4 Ho 3.63
Pm (0.5000, 0.5000, 0.4003)  8 Pm 3.62, 4 Ho 3.63
Pm (0.5000, 0.5000, 0.5997)  8 Pm 3.62, 4 Ho 3.63
Pm (0.5000, 0.5000, 0.7989)  8 Pm 3.61-3.62, 4 Ho 3.63
Pm (0.5000, 0.0000, 0.1011)  2 Ho 3.62, 8 Pm 3.62-3.64, 2 Sm 3.64
Pm (0.5000, 0.0000, 0.3006)  8 Pm 3.61-3.63, 4 Ho 3.62
Pm (0.5000, 0.0000, 0.5000)  4 Ho 3.62, 8 Pm 3.62-3.63
Pm (0.5000, 0.0000, 0.6994)  8 Pm 3.61-3.63, 4 Ho 3.62
Pm (0.5000, 0.0000, 0.8989)  2 Ho 3.62, 8 Pm 3.62-3.64, 2 Sm 3.64
Pm (0.0000, 0.5000, 0.1011)  2 Ho 3.62, 8 Pm 3.62-3.64, 2 Sm 3.64
Pm (0.0000, 0.5000, 0.3006)  8 Pm 3.61-3.63, 4 Ho 3.62
Pm (0.0000, 0.5000, 0.5000)  4 Ho 3.62, 8 Pm 3.62-3.63
Pm (0.0000, 0.5000, 0.6994)  8 Pm 3.61-3.63, 4 Ho 3.62
Pm (0.0000, 0.5000, 0.8989)  2 Ho 3.62, 8 Pm 3.62-3.64, 2 Sm 3.64
Sm (0.0000, 0.0000, 0.0000)  12 Pm 3.63-3.64
Ho (0.0000, 0.0000, 0.2009)  12 Pm 3.62-3.63
Ho (0.0000, 0.0000, 0.4003)  12 Pm 3.62-3.63
Ho (0.0000, 0.0000, 0.5997)  12 Pm 3.62-3.63
Ho (0.0000, 0.0000, 0.7991)  12 Pm 3.62-3.63

=====

[3]
Entry from Alexandria via LeMat-Bulk: a geometry-optimized ZnCo2Os structure (PBE).

symmetry	Imm2
formation energy from the elements	0.19	eV/atom

Lattice parameters (Å, degrees): 4.9815 4.9815 4.9815 148.44 128.73 61.47
Closest atoms and distances in Å follow each position.
Element x y z (fractional)
Co (0.0073, 0.0073, 0.0000)  4 Co 2.43-2.71, 2 Zn 2.52, 4 Os 2.55
Co (0.2429, 0.7429, 0.5000)  4 Co 2.43-2.71, 2 Os 2.52, 4 Zn 2.55
Os (0.4906, 0.4906, 0.0000)  6 Co 2.52-2.55, 2 Zn 2.67, 2 Os 2.71
Zn (0.7592, 0.2592, 0.5000)  6 Co 2.52-2.55, 2 Os 2.67, 2 Zn 2.71

=====

[4]
Entry from Alexandria via LeMat-Bulk: a geometry-optimized KBaW2 structure (PBE).

symmetry	P4/mmm
polymorph energy (0 for the lowest one)	870	meV per atom
formation energy from the elements	1.77	eV/atom

Lattice parameters (Å, degrees): 2.8800 2.8800 11.8878 90.00 90.00 90.00
Closest atoms and distances in Å follow each position.
Element x y z (fractional)
Ba (0.5000, 0.5000, 0.2500)  4 Ba 2.88
K (0.5000, 0.5000, 0.7500)  4 K 2.88
W (0.0000, 0.0000, 0.0079)  4 W 2.88
W (0.0000, 0.0000, 0.4921)  4 W 2.88

=====

Record-wise D(E_F) values, in states/eV per cell: 5.89; 27.52; 3.87; 4.53